# CoSb2Pb

A relaxed structure of CoSb2Pb (PBE, the Alexandria database).

The space group is Pm (No. 6) and the conventional cell measures 3.806, 3.413 and 7.624 Å, with angles of 90.00, 103.80 and 90.00 degrees. Symmetry generates all atoms from Co at (0.000, 0.000, 0.000), Sb at (0.177, 0.000, 0.354), Sb at (0.528, 0.500, 0.060) and Pb at (0.843, 0.500, 0.687).

The calculation puts the total DFT energy (no corrections) at -4.57 eV per atom.